DFT (PBE) results for LaPa2Se3 after structural relaxation.

a = 4.1427 Å, b = 4.1427 Å, c = 17.6065 Å
α = 90.00°, β = 90.00°, γ = 90.00°
Space group I4/mmm (No. 139)
Inequivalent atoms, fractional coordinates:
La: 0.0000 0.0000 0.0000 [2 per cell]
Pa: 0.0000 0.0000 0.3320 [4 per cell]
Se: 0.0000 0.0000 0.1685 [4 per cell]
Se: 0.0000 0.0000 0.5000 [2 per cell]

Calculated values
formation energy without anion corrections = -1.4238 eV per atom

DFT (PBE) results for La2AgAu2 after structural relaxation.

a = 3.9568 Å, b = 3.9568 Å, c = 17.3443 Å
α = 90.00°, β = 90.00°, γ = 90.00°
Space group I4/mmm (No. 139)
Inequivalent atoms, fractional coordinates:
La: 0.0000 0.0000 0.1070 [4 per cell]
Ag: 0.0000 0.0000 0.5000 [2 per cell]
Au: 0.0000 0.5000 0.2500 [4 per cell]

Calculated values
relative energy among the computed polymorphs = 305 meV per atom
formation enthalpy at 0 K = -1.857 eV/f.u.

DFT (PBE) results for K5Eu3I12 after structural relaxation.

a = 19.8475 Å, b = 19.8475 Å, c = 19.8475 Å
α = 90.00°, β = 90.00°, γ = 90.00°
Space group Ia-3d (No. 230)
Inequivalent atoms, fractional coordinates:
K: 0.0000 0.0000 0.0000 [16 per cell]
K: 0.0000 0.2500 0.3750 [24 per cell]
Eu: 0.0000 0.2500 0.1250 [24 per cell]
I: 0.0221 0.0854 0.6500 [96 per cell]

Calculated values
formation energy without anion corrections = -1.3179 eV per atom

DFT (PBE) results for Pr5NdY2Sc after structural relaxation.

a = 5.4394 Å, b = 22.1472 Å, c = 10.3585 Å
α = 90.00°, β = 90.00°, γ = 90.00°
Space group Cmcm (No. 63)
Inequivalent atoms, fractional coordinates:
Pr: 0.0000 0.0000 0.0000 [4 per cell]
Pr: 0.0000 0.1257 0.2500 [4 per cell]
Pr: 0.0000 0.2217 0.5628 [8 per cell]
Pr: 0.0000 0.4982 0.7500 [4 per cell]
Nd: 0.0000 0.1012 0.7500 [4 per cell]
Y: 0.0000 0.3836 0.0018 [8 per cell]
Sc: 0.0000 0.2842 0.2500 [4 per cell]

Calculated values
formation enthalpy at 0 K = 1.099 eV/f.u.

DFT (PBE) results for CsYZr3 after structural relaxation.

a = 5.5617 Å, b = 5.5617 Å, c = 5.5617 Å
α = 90.00°, β = 90.00°, γ = 90.00°
Space group Pm-3m (No. 221)
Inequivalent atoms, fractional coordinates:
Cs: 0.0000 0.0000 0.0000 [1 per cell]
Y: 0.5000 0.5000 0.5000 [1 per cell]
Zr: 0.0000 0.5000 0.5000 [3 per cell]

Calculated values
relative energy among the computed polymorphs = 0 meV per atom
formation enthalpy at 0 K = 7.580 eV/f.u.

DFT (PBE) results for CoSnAu after structural relaxation.

a = 3.1588 Å, b = 4.0858 Å, c = 8.5955 Å
α = 90.00°, β = 90.00°, γ = 90.00°
Space group Imm2 (No. 44)
Inequivalent atoms, fractional coordinates:
Co: 0.0000 0.0000 0.0000 [2 per cell]
Sn: 0.0000 0.0000 0.4478 [2 per cell]
Au: 0.0000 0.5000 0.2264 [2 per cell]

Calculated values
formation enthalpy at 0 K = 0.619 eV/f.u.

DFT (PBE) results for Ca2YNbO6 after structural relaxation.

a = 5.6424 Å, b = 5.8805 Å, c = 9.8969 Å
α = 90.00°, β = 124.63°, γ = 90.00°
Space group P2_1/c (No. 14)
Inequivalent atoms, fractional coordinates:
Ca: 0.2387 0.0537 0.2542 [4 per cell]
Y: 0.5000 0.0000 0.0000 [2 per cell]
Nb: 0.0000 0.0000 0.5000 [2 per cell]
O: 0.1117 0.2140 0.9323 [4 per cell]
O: 0.2349 0.6842 0.9445 [4 per cell]
O: 0.3494 0.0502 0.7341 [4 per cell]

Calculated values
formation energy without anion corrections = -3.0639 eV per atom

DFT (PBE) results for Sc2IrI after structural relaxation.

a = 4.0378 Å, b = 4.0378 Å, c = 24.6062 Å
α = 90.00°, β = 90.00°, γ = 120.00°
Space group R-3m (No. 166, hexagonal axes)
Inequivalent atoms, fractional coordinates:
Sc: 0.0000 0.0000 0.1164 [6 per cell]
Ir: 0.0000 0.0000 0.5000 [3 per cell]
I: 0.0000 0.0000 0.0000 [3 per cell]

Calculated values
relative energy among the computed polymorphs = 0 meV per atom
formation energy without anion corrections = -0.7168 eV per atom